(w)
5
Lattice="4.9003 0.0000 0.0000 0.0000 4.9003 0.0000 0.0000 0.0000 4.9003" Properties=species:S:1:pos:R:3 comment="Zn3CrGa | the Alexandria database | PBE | relaxed" space_group="No. 221" m_tot_mub_per_cell=3.91 pbc="T T T"
Zn 0.0000 0.0000 2.4501
Zn 0.0000 2.4501 0.0000
Zn 2.4501 0.0000 0.0000
Cr 0.0000 0.0000 0.0000
Ga 2.4501 2.4501 2.4501



(x)
5
Lattice="4.6087 0.0000 0.0000 0.0000 4.6087 0.0000 0.0000 0.0000 4.6087" Properties=species:S:1:pos:R:3 comment="Zn3CrGa | the Alexandria database | PBE | relaxed" space_group="No. 221" m_tot_mub_per_cell=0.10 pbc="T T T"
Zn 0.0000 0.0000 2.3044
Zn 0.0000 2.3044 0.0000
Zn 2.3044 0.0000 0.0000
Cr 2.3044 2.3044 2.3044
Ga 0.0000 0.0000 0.0000



Of them, (w) has the highest stability.



(w)
4
Lattice="0.0000 3.5010 3.5010 3.5010 0.0000 3.5010 3.5010 3.5010 0.0000" Properties=species:S:1:pos:R:3 comment="Gd2CrRu | the Alexandria database | PBE | relaxed" space_group="No. 225" m_tot_mub_per_cell=17.61 pbc="T T T"
Gd 1.7505 1.7505 1.7505
Gd 5.2515 5.2515 5.2515
Cr 0.0000 0.0000 0.0000
Ru 3.5010 3.5010 3.5010



(x)
4
Lattice="4.8842 0.0000 0.0000 0.0000 4.8842 0.0000 0.0000 0.0000 3.5772" Properties=species:S:1:pos:R:3 comment="Gd2CrRu | the Alexandria database | PBE | relaxed" space_group="No. 123" m_tot_mub_per_cell=17.55 pbc="T T T"
Gd 0.0000 2.4421 0.0000
Gd 2.4421 0.0000 0.0000
Cr 0.0000 0.0000 1.7886
Ru 2.4421 2.4421 1.7886



Of them, (w) has the highest stability.



(w)
5
Lattice="3.5237 0.0000 0.0000 0.0000 3.5237 0.0000 0.0000 0.0000 3.5237" Properties=species:S:1:pos:R:3 comment="CrGeH3 | the Alexandria database | PBE | relaxed" space_group="No. 221" m_tot_mub_per_cell=2.69 pbc="T T T"
Cr 0.0000 0.0000 0.0000
Ge 1.7619 1.7619 1.7619
H 0.0000 0.0000 1.7619
H 0.0000 1.7619 0.0000
H 1.7619 0.0000 0.0000



(x)
5
Lattice="3.7401 0.0000 0.0000 0.0000 3.7401 0.0000 0.0000 0.0000 3.7401" Properties=species:S:1:pos:R:3 comment="CrGeH3 | the Alexandria database | PBE | relaxed" space_group="No. 221" m_tot_mub_per_cell=4.84 pbc="T T T"
Cr 0.0000 0.0000 0.0000
Ge 1.8701 1.8701 1.8701
H 0.0000 1.8701 1.8701
H 1.8701 0.0000 1.8701
H 1.8701 1.8701 0.0000



Of them, (w) has the highest stability.